Computed, not measured: a relaxed Sc4Zn3Ga crystal at the PBE level of DFT.

Structure (POSCAR):
```
Sc4Zn3Ga
1.0
2.3681 1.3672 7.7467
-2.3681 1.3672 7.7467
0.0000 -2.7344 7.7467
Sc Zn Ga
4 3 1
direct
0.1249 0.1249 0.1249
0.3750 0.3750 0.3750
0.6250 0.6250 0.6250
0.8751 0.8751 0.8751
0.0000 0.0000 0.0000
0.2520 0.2520 0.2520
0.7480 0.7480 0.7480
0.5000 0.5000 0.5000
```

- Space group: R-3m (166)
- DOS(E_F): 7.50 states/eV per cell
- Energy of formation: -43.0 kJ per mole of atoms

***

Computed, not measured: a relaxed Sc3ZnGa3 crystal at the PBE level of DFT.

Structure (POSCAR):
```
Sc3ZnGa3
1.0
7.9788 0.0000 0.0000
-3.9894 6.9098 0.0000
0.0000 0.0000 4.7791
Sc Zn Ga
6 2 6
direct
0.0970 0.4493 0.2500
0.3523 0.9030 0.2500
0.4493 0.3523 0.7500
0.5507 0.6477 0.2500
0.6477 0.0970 0.7500
0.9030 0.5507 0.7500
0.3333 0.6667 0.7500
0.6667 0.3333 0.2500
0.0468 0.2313 0.7500
0.1845 0.9532 0.7500
0.2313 0.1845 0.2500
0.7687 0.8155 0.7500
0.8155 0.0468 0.2500
0.9532 0.7687 0.2500
```

- Space group: P6_3/m (176)
- DOS(E_F): 8.96 states/eV per cell
- Energy of formation: -37.7 kJ per mole of atoms
- Excess energy over the best structure of this formula in the dataset: 0.167 eV per atom

***

Computed, not measured: a relaxed Sc3ZnGa3 crystal at the PBE level of DFT.

Structure (POSCAR):
```
Sc3ZnGa3
1.0
5.0999 -2.0884 0.0000
5.0999 2.0884 0.0000
-4.3888 0.0000 12.5742
Sc Zn Ga
6 2 6
direct
0.0313 0.0313 0.3789
0.1014 0.1014 0.9215
0.2350 0.2350 0.2193
0.7650 0.7650 0.7807
0.8986 0.8986 0.0785
0.9687 0.9687 0.6211
0.2597 0.2597 0.6093
0.7403 0.7403 0.3907
0.3713 0.3713 0.4495
0.3823 0.3823 0.9264
0.4786 0.4786 0.7697
0.5214 0.5214 0.2303
0.6177 0.6177 0.0736
0.6287 0.6287 0.5505
```

- Space group: C2/m (12)
- DOS(E_F): 9.84 states/eV per cell
- Energy of formation: -53.9 kJ per mole of atoms
- Excess energy over the best structure of this formula in the dataset: 0.000 eV per atom

***

Computed, not measured: a relaxed ScZn3Ga crystal at the PBE level of DFT.

Structure (POSCAR):
```
ScZn3Ga
1.0
2.1432 -12.1597 0.0000
2.1432 12.1597 0.0000
0.0000 0.0000 3.3648
Sc Zn Ga
2 6 2
direct
0.1691 0.8309 0.0000
0.8309 0.1691 0.0000
0.0565 0.9435 0.5000
0.2727 0.7273 0.5000
0.4506 0.5494 0.0000
0.5494 0.4506 0.0000
0.7273 0.2727 0.5000
0.9435 0.0565 0.5000
0.3731 0.6269 0.5000
0.6269 0.3731 0.5000
```

- Space group: Cmmm (65)
- DOS(E_F): 4.73 states/eV per cell
- Energy of formation: -18.3 kJ per mole of atoms
- Excess energy over the best structure of this formula in the dataset: 0.000 eV per atom

***

Computed, not measured: a relaxed Sc2ZnGa2 crystal at the PBE level of DFT.

Structure (POSCAR):
```
Sc2ZnGa2
1.0
5.0771 -2.1072 0.0000
5.0771 2.1072 0.0000
-4.3922 0.0000 8.7402
Sc Zn Ga
4 2 4
direct
0.0132 0.0132 0.3293
0.1786 0.1786 0.0942
0.8214 0.8214 0.9058
0.9868 0.9868 0.6707
0.2786 0.2786 0.6596
0.7214 0.7214 0.3404
0.3610 0.3610 0.4275
0.4690 0.4690 0.1155
0.5310 0.5310 0.8845
0.6390 0.6390 0.5725
```

- Space group: C2/m (12)
- DOS(E_F): 7.44 states/eV per cell
- Energy of formation: -52.1 kJ per mole of atoms

***

Computed, not measured: a relaxed Sc3Zn3Ga2 crystal at the PBE level of DFT.

Structure (POSCAR):
```
Sc3Zn3Ga2
1.0
2.0967 -5.0531 0.0000
2.0967 5.0531 0.0000
0.0000 0.0000 13.8655
Sc Zn Ga
6 6 4
direct
0.0842 0.9158 0.6116
0.0842 0.9158 0.8884
0.3564 0.6436 0.7500
0.6436 0.3564 0.2500
0.9158 0.0842 0.1116
0.9158 0.0842 0.3884
0.3633 0.6367 0.2500
0.3862 0.6138 0.5367
0.3862 0.6138 0.9633
0.6138 0.3862 0.0367
0.6138 0.3862 0.4633
0.6367 0.3633 0.7500
0.2061 0.7939 0.1073
0.2061 0.7939 0.3927
0.7939 0.2061 0.6073
0.7939 0.2061 0.8927
```

- Space group: Cmcm (63)
- DOS(E_F): 10.91 states/eV per cell
- Energy of formation: -42.4 kJ per mole of atoms

***

Computed, not measured: a relaxed Sc3Zn6Ga5 crystal at the PBE level of DFT.

Structure (POSCAR):
```
Sc3Zn6Ga5
1.0
4.1041 0.0000 0.0000
0.0000 12.0080 0.0000
0.0000 0.0000 9.6102
Sc Zn Ga
6 12 10
direct
0.2500 0.0534 0.2493
0.2500 0.4466 0.2493
0.2500 0.7500 0.2519
0.7500 0.2500 0.7481
0.7500 0.5534 0.7507
0.7500 0.9466 0.7507
0.2500 0.0987 0.6201
0.2500 0.2500 0.0558
0.2500 0.2500 0.4366
0.2500 0.4013 0.6201
0.2500 0.6016 0.9728
0.2500 0.8984 0.9728
0.7500 0.1016 0.0272
0.7500 0.3984 0.0272
0.7500 0.5987 0.3799
0.7500 0.7500 0.5634
0.7500 0.7500 0.9442
0.7500 0.9013 0.3799
0.2500 0.0979 0.8723
0.2500 0.4021 0.8723
0.2500 0.6047 0.5318
0.2500 0.7500 0.7599
0.2500 0.8953 0.5318
0.7500 0.1047 0.4682
0.7500 0.2500 0.2401
0.7500 0.3953 0.4682
0.7500 0.5979 0.1277
0.7500 0.9021 0.1277
```

- Space group: Pmmn (59)
- DOS(E_F): 11.45 states/eV per cell
- Energy of formation: -34.4 kJ per mole of atoms

***

Computed, not measured: a relaxed ScZn3Ga crystal at the PBE level of DFT.

Structure (POSCAR):
```
ScZn3Ga
1.0
4.6808 0.0000 0.0000
0.0000 4.6808 0.0000
0.0000 0.0000 4.6808
Sc Zn Ga
1 3 1
direct
0.0000 0.0000 0.0000
0.0000 0.5000 0.5000
0.5000 0.0000 0.5000
0.5000 0.5000 0.0000
0.5000 0.5000 0.5000
```

- Space group: Pm-3m (221)
- DOS(E_F): 4.53 states/eV per cell
- Energy of formation: 28.6 kJ per mole of atoms
- Excess energy over the best structure of this formula in the dataset: 0.486 eV per atom